(1)
This record from OQMD via LeMat-Bulk describes an optimized crystal structure of BiMoPd2. The functional is PBE.

a b c (Å): 6.565 6.565 6.565
angles (deg): 90.00 90.00 90.00
Space group F-43m (No. 216)
Unique sites:
Bi: 0.000 0.000 0.000 x4
Mo: 0.250 0.250 0.250 x4
Pd: 0.000 0.000 0.500 x4
Pd: 0.250 0.250 0.750 x4

Results
The calculation puts the energy at -6.112 eV per atom.

(2)
This record from OQMD via LeMat-Bulk describes an optimized crystal structure of AcPu. The functional is PBE.

a b c (Å): 6.203 6.203 6.203
angles (deg): 90.00 90.00 90.00
Space group F-43m (No. 216)
Unique sites:
Ac: 0.000 0.000 0.000 x4
Pu: 0.250 0.250 0.750 x4

Results
Its energy above the most stable polymorph in this dataset is 1.948 eV per atom. The calculation puts the calculated formation energy at 2178 meV per atom.

(3)
This record from OQMD via LeMat-Bulk describes an optimized crystal structure of Pr3Cd2NiHgAu2. The functional is PBE.

a b c (Å): 3.994 13.632 7.913
angles (deg): 90.00 90.00 90.00
Space group Amm2 (No. 38)
Unique sites:
Pr: 0.000 0.000 0.000 x2
Pr: 0.000 0.195 0.400 x4
Cd: 0.500 0.120 0.722 x4
Ni: 0.000 0.000 0.603 x2
Hg: 0.500 0.000 0.356 x2
Au: 0.500 0.170 0.095 x4

Results
The calculation puts the calculated formation energy at -554 meV per atom.

(4)
This record from OQMD via LeMat-Bulk describes an optimized crystal structure of MgReSiAs. The functional is PBE.

a b c (Å): 6.254 6.254 6.254
angles (deg): 90.00 90.00 90.00
Space group F-43m (No. 216)
Unique sites:
Mg: 0.000 0.000 0.000 x4
Re: 0.000 0.000 0.500 x4
Si: 0.250 0.250 0.750 x4
As: 0.250 0.250 0.250 x4

Results
Its energy above the most stable polymorph in this dataset is 0.000 eV per atom.

(5)
This record from OQMD via LeMat-Bulk describes an optimized crystal structure of Cs2Te2PdS. The functional is PBE.

a b c (Å): 13.733 7.498 10.254
angles (deg): 90.00 111.60 90.00
Space group C2/m (No. 12)
Unique sites:
Cs: 0.074 0.000 0.326 x4
Cs: 0.193 0.500 0.849 x4
Te: 0.133 0.500 0.410 x4
Te: 0.214 0.000 0.729 x4
Pd: 0.072 0.500 0.132 x4
S: 0.000 0.250 0.000 x4

Results
The calculation puts the energy at -3.457 eV per atom.

(6)
This record from OQMD via LeMat-Bulk describes an optimized crystal structure of KSmAu. The functional is PBE.

a b c (Å): 7.258 7.258 7.258
angles (deg): 90.00 90.00 90.00
Space group F-43m (No. 216)
Unique sites:
K: 0.000 0.000 0.000 x4
Sm: 0.250 0.250 0.750 x4
Au: 0.000 0.000 0.500 x4

Results
Its energy above the most stable polymorph in this dataset is 0.000 eV per atom.

(7)
This record from OQMD via LeMat-Bulk describes an optimized crystal structure of HoUAg. The functional is PBE.

a b c (Å): 6.993 6.993 6.993
angles (deg): 90.00 90.00 90.00
Space group F-43m (No. 216)
Unique sites:
Ho: 0.000 0.000 0.000 x4
U: 0.000 0.000 0.500 x4
Ag: 0.250 0.250 0.250 x4

Results
Its energy above the most stable polymorph in this dataset is 0.000 eV per atom. The calculation puts the calculated formation energy at 728 meV per atom.

(8)
This record from OQMD via LeMat-Bulk describes an optimized crystal structure of Sc2AlAu2. The functional is PBE.

a b c (Å): 3.850 3.850 14.361
angles (deg): 90.00 90.00 90.00
Space group I4/mmm (No. 139)
Unique sites:
Sc: 0.000 0.000 0.103 x4
Al: 0.000 0.000 0.500 x2
Au: 0.000 0.500 0.250 x4

Results
The calculation puts the energy at -4.796 eV per atom.

(9)
This record from OQMD via LeMat-Bulk describes an optimized crystal structure of Li2YHf. The functional is PBE.

a b c (Å): 7.113 7.113 7.113
angles (deg): 90.00 90.00 90.00
Space group F-43m (No. 216)
Unique sites:
Li: 0.000 0.000 0.000 x4
Li: 0.250 0.250 0.250 x4
Y: 0.000 0.000 0.500 x4
Hf: 0.250 0.250 0.750 x4

Results
The calculation puts the energy at -4.525 eV per atom.

(10)
This record from OQMD via LeMat-Bulk describes an optimized crystal structure of TmMgZn4. The functional is PBE.

a b c (Å): 4.4022 4.4022 6.4514
angles (deg): 90.00 90.00 120.00
Space group P6/mmm (No. 191)
Unique sites:
Tm: 0.0000 0.0000 0.0000 x1
Mg: 0.0000 0.0000 0.5000 x1
Zn: 0.3333 0.6667 0.2574 x4

Results
The calculation puts the energy at -2.133 eV per atom.

(11)
This record from OQMD via LeMat-Bulk describes an optimized crystal structure of CsCoCuTc. The functional is PBE.

a b c (Å): 6.729 6.729 6.729
angles (deg): 90.00 90.00 90.00
Space group F-43m (No. 216)
Unique sites:
Cs: 0.000 0.000 0.000 x4
Co: 0.250 0.250 0.750 x4
Cu: 0.250 0.250 0.250 x4
Tc: 0.000 0.000 0.500 x4

Results
Its energy above the most stable polymorph in this dataset is 0.000 eV per atom.

(12)
This record from OQMD via LeMat-Bulk describes an optimized crystal structure of BaLaSm. The functional is PBE.

a b c (Å): 8.394 8.394 8.394
angles (deg): 90.00 90.00 90.00
Space group F-43m (No. 216)
Unique sites:
Ba: 0.000 0.000 0.000 x4
La: 0.000 0.000 0.500 x4
Sm: 0.250 0.250 0.250 x4

Results
Its energy above the most stable polymorph in this dataset is 0.000 eV per atom.

(13)
This record from OQMD via LeMat-Bulk describes an optimized crystal structure of Na2Pd3S4. The functional is PBE.

a b c (Å): 6.151 10.597 23.338
angles (deg): 90.00 90.00 90.00
Space group Fddd (No. 70, origin choice 2)
Unique sites:
Na: 0.125 0.125 0.048 x16
Pd: 0.125 0.125 0.377 x16
Pd: 0.125 0.125 0.625 x8
S: 0.112 0.293 0.558 x32

Results
The calculation puts the energy at -4.447 eV per atom.

(14)
This record from OQMD via LeMat-Bulk describes an optimized crystal structure of SiNiHgAu. The functional is PBE.

a b c (Å): 6.440 6.440 6.440
angles (deg): 90.00 90.00 90.00
Space group F-43m (No. 216)
Unique sites:
Si: 0.000 0.000 0.000 x4
Ni: 0.250 0.250 0.250 x4
Hg: 0.250 0.250 0.750 x4
Au: 0.000 0.000 0.500 x4

Results
The calculation puts the energy at -3.284 eV per atom.

(15)
This record from OQMD via LeMat-Bulk describes an optimized crystal structure of Na2Os2O5. The functional is PBE.

a b c (Å): 3.299 3.299 9.910
angles (deg): 90.00 90.00 90.00
Space group P4/mmm (No. 123)
Unique sites:
Na: 0.000 0.000 0.231 x2
Os: 0.500 0.500 0.000 x1
Os: 0.500 0.500 0.500 x1
O: 0.000 0.000 0.000 x1
O: 0.000 0.500 0.385 x4

Results
Its energy above the most stable polymorph in this dataset is 0.751 eV per atom.

(16)
This record from OQMD via LeMat-Bulk describes an optimized crystal structure of Nd2Ho2CI2Cl3. The functional is PBE.

a b c (Å): 17.924 3.908 8.211
angles (deg): 90.00 100.15 90.00
Space group C2/m (No. 12)
Unique sites:
Nd: 0.006 0.000 0.290 x4
Ho: 0.135 0.500 0.564 x4
C: 0.000 0.500 0.500 x2
I: 0.170 0.000 0.848 x4
Cl: 0.000 0.500 0.000 x2
Cl: 0.174 0.000 0.360 x4

Results
Its energy above the most stable polymorph in this dataset is 0.015 eV per atom.

(17)
This record from OQMD via LeMat-Bulk describes an optimized crystal structure of KTe5Au3. The functional is PBE.

a b c (Å): 5.9195 5.9195 8.7303
angles (deg): 90.00 90.00 120.00
Space group P6/mmm (No. 191)
Unique sites:
K: 0.0000 0.0000 0.0000 x1
Te: 0.0000 0.0000 0.5000 x1
Te: 0.3333 0.6667 0.1545 x4
Au: 0.0000 0.5000 0.5000 x3

Results
The calculation puts the energy at -2.986 eV per atom.

(18)
This record from OQMD via LeMat-Bulk describes an optimized crystal structure of PuRe. The functional is PBE.

a b c (Å): 5.924 5.924 5.924
angles (deg): 90.00 90.00 90.00
Space group F-43m (No. 216)
Unique sites:
Pu: 0.000 0.000 0.000 x4
Re: 0.250 0.250 0.750 x4

Results
The calculation puts the calculated formation energy at 1540 meV per atom.

(19)
This record from OQMD via LeMat-Bulk describes an optimized crystal structure of NdAsN2O. The functional is PBE.

a b c (Å): 3.623 6.201 5.502
angles (deg): 90.00 90.00 90.00
Space group Pmc2_1 (No. 26)
Unique sites:
Nd: 0.000 0.161 0.000 x2
As: 0.500 0.334 0.515 x2
N: 0.000 0.229 0.521 x2
N: 0.500 0.413 0.853 x2
O: 0.500 0.072 0.285 x2

Results
The calculation puts the energy at -7.017 eV per atom.

(20)
This record from OQMD via LeMat-Bulk describes an optimized crystal structure of Sm3CuSnS7. The functional is PBE.

a b c (Å): 10.0100 10.0100 6.1073
angles (deg): 90.00 90.00 120.00
Space group P6_3 (No. 173)
Unique sites:
Sm: 0.1392 0.3577 0.0000 x6
Cu: 0.0000 0.0000 0.0674 x2
Sn: 0.3333 0.6667 0.4298 x2
S: 0.0854 0.5703 0.2531 x6
S: 0.1038 0.2577 0.5501 x6
S: 0.3333 0.6667 0.8193 x2

Results
The calculation puts the energy at -5.667 eV per atom.